LiSc2Pb | PBE | relaxed

Cell: 3.647 3.647 6.918 Å, 90.00 90.00 90.00°
Space group P4mm (No. 99)
Symmetry-distinct sites (fractional):
Li (0.000, 0.000, 0.000) [1 per cell]
Sc (0.000, 0.000, 0.485) [1 per cell]
Sc (0.500, 0.500, 0.742) [1 per cell]
Pb (0.500, 0.500, 0.215) [1 per cell]

Energy relative to the elements ... -127 meV per atom
Raw total energy ... -18.79 eV/cell